A relaxed structure of AcTbN. Source: Alexandria via LeMat-Bulk, functional GGA-PBE.

The structure belongs to space group I4mm (No. 107); the cell edges are 3.593, 3.593 and 13.836 Å and the angles 90.00°, 90.00° and 90.00°. The inequivalent atoms are Ac at (0.000, 0.000, 0.000), Tb at (0.000, 0.000, 0.294) and N at (0.000, 0.000, 0.448).

As for the density of states at the Fermi level: 0.877 states/eV per atom. The calculation puts the formation energy (no corrections) at -0.621 eV/atom. The crystal system is tetragonal. For the relative energy among the computed polymorphs, the calculation gives 177 meV per atom.